## Cs2RbMgAs (PBE)

Data for a relaxed structure of Cs2RbMgAs.

Unit cell a=7.6735 b=7.6735 c=5.0989 alpha=90.00 beta=90.00 gamma=90.00
With the nearest neighbours (Å) after each atom.
Space group P4/mmm (No. 123)
Symmetry-distinct sites (fractional):
Cs1 0.0000 0.5000 0.0000  2 As 3.84
Rb1 0.0000 0.0000 0.5000  8 Cs 4.61, 2 Rb 5.10
Mg1 0.5000 0.5000 0.5000  2 As 2.55
As1 0.5000 0.5000 0.0000  2 Mg 2.55

offset from the most stable computed form: 0 meV/atom
V: 300.24 Å³/cell
formation energy: -116.2 meV per atom

***

## MgVCu (PBE)

Data for a relaxed structure of MgVCu.

Unit cell a=3.0607 b=3.0636 c=9.7412 alpha=92.50 beta=92.24 gamma=90.50
With the nearest neighbours (Å) after each atom.
Space group P1 (No. 1)
Symmetry-distinct sites (fractional):
Mg1 0.0000 0.0000 0.0000  8 Cu 2.72-2.76
Mg2 0.0385 0.0373 0.3390  4 Cu 2.68-2.71, 4 V 2.87-2.93
V1 0.5560 0.5553 0.5385  1 V 2.16
V2 0.9688 0.9700 0.6745  1 V 2.16
Cu1 0.4836 0.4844 0.8261  5 V 2.59-2.84, 4 Mg 2.72-2.76
Cu2 0.5185 0.5181 0.1741  8 Mg 2.68-2.76

offset from the most stable computed form: 0 meV/atom
V: 91.18 Å³/cell
formation energy: 110.8 meV per atom

***

## Sr2Mg2F7 (PBE)

Data for a relaxed structure of Sr2Mg2F7.

Unit cell a=7.9543 b=8.7477 c=5.4931 alpha=90.00 beta=97.41 gamma=90.00
With the nearest neighbours (Å) after each atom.
Space group C2/m (No. 12)
Symmetry-distinct sites (fractional):
Sr1 0.0000 0.2258 0.0000  6 F 2.49-2.51
Mg1 0.2355 0.5000 0.4487  4 F 1.92-1.94
F1 0.0000 0.5000 0.5000  2 Mg 1.93
F2 0.0983 0.0000 0.2640  1 Mg 1.92
F3 0.2346 0.1785 0.7497  1 Mg 1.94

DFT total energy: -5.2123 eV per atom
V: 379.03 Å³/cell

***

## BPd2C2 (PBE)

Data for a relaxed structure of BPd2C2.

Unit cell a=4.5022 b=4.5022 c=4.9003 alpha=90.00 beta=90.00 gamma=90.00
With the nearest neighbours (Å) after each atom.
Space group I4/mmm (No. 139)
Symmetry-distinct sites (fractional):
B1 0.0000 0.0000 0.0000  2 C 1.71
Pd1 0.0000 0.5000 0.2500  4 C 2.30, 2 Pd 2.45, 4 B 2.56
C1 0.0000 0.0000 0.3499  1 C 1.47

offset from the most stable computed form: 0 meV/atom
V: 99.33 Å³/cell
formation energy: 1049.9 meV per atom

***

## Zr2GeF (PBE)

Data for a relaxed structure of Zr2GeF.

Unit cell a=6.5268 b=6.5268 c=6.5268 alpha=90.00 beta=90.00 gamma=90.00
With the nearest neighbours (Å) after each atom.
Space group Fm-3m (No. 225)
Symmetry-distinct sites (fractional):
Zr1 0.2500 0.2500 0.2500  4 Ge 2.83, 4 F 2.83
Ge1 0.0000 0.0000 0.0000  8 Zr 2.83
F1 0.0000 0.0000 0.5000  8 Zr 2.83

offset from the most stable computed form: 0 meV/atom
V: 278.03 Å³/cell

***

## FeMo2H6 (PBE)

Data for a relaxed structure of FeMo2H6.

Unit cell a=3.0736 b=4.2817 c=9.0184 alpha=90.00 beta=90.00 gamma=90.00
With the nearest neighbours (Å) after each atom.
Space group Immm (No. 71)
Symmetry-distinct sites (fractional):
Fe1 0.0000 0.0000 0.0000  8 H 1.74-1.80
Mo1 0.0000 0.0000 0.3322  8 H 1.90-1.93
H1 0.0000 0.2406 0.1553  1 Fe 1.74, 3 Mo 1.90
H2 0.0000 0.2815 0.5000  2 Fe 1.80, 1 H 1.87, 2 Mo 1.93

DFT total energy: -5.4948 eV per atom
V: 118.68 Å³/cell